Material: CsY2ScSi
Method: DFT, GGA-PBE
State: relaxed

The value obtained for the density of states at the Fermi level is 8.9 states/eV per cell. The raw total energy comes out at -4.846 eV per atom. For the raw formation energy, the calculation gives 25.2 kJ/mol of atoms.

The space group is P4/mmm (No. 123) and the conventional cell measures 5.647, 5.647 and 5.356 Å, with angles of 90.00, 90.00 and 90.00 degrees. The inequivalent atoms are Cs at (0.000, 0.000, 0.000), Y at (0.000, 0.500, 0.500), Sc at (0.500, 0.500, 0.000) and Si at (0.500, 0.500, 0.500).